VASP calculation (PBE-GGA) on an optimized crystal structure of GdPaPO.

CIF file:
```
data_GdPaPO
_chemical_formula_sum 'Gd2 Pa2 P2 O2'
_space_group_name_H-M_alt 'P m c 21'
_space_group_IT_number 26
_cell_length_a 4.155
_cell_length_b 7.908
_cell_length_c 5.528
_cell_angle_alpha 90.00
_cell_angle_beta 90.00
_cell_angle_gamma 90.00
loop_
_space_group_symop_operation_xyz
'x,y,z'
'-x,-y,z+1/2'
'-x,y,z'
'x,-y,z+1/2'
loop_
_atom_site_label
_atom_site_type_symbol
_atom_site_fract_x
_atom_site_fract_y
_atom_site_fract_z
Gd1 Gd 0.000 0.206 0.000
Pa1 Pa 0.500 0.375 0.501
P1 P 0.000 0.146 0.500
O1 O 0.500 0.331 0.999
```

As for the offset from the most stable computed form: 0.000 eV/atom.

VASP calculation (PBE-GGA) on an optimized crystal structure of GdPaPO.

CIF file:
```
data_GdPaPO
_chemical_formula_sum 'Gd2 Pa2 P2 O2'
_space_group_name_H-M_alt 'P 4/n m m'
_space_group_IT_number 129
_cell_length_a 4.164
_cell_length_b 4.164
_cell_length_c 9.069
_cell_angle_alpha 90.00
_cell_angle_beta 90.00
_cell_angle_gamma 90.00
loop_
_space_group_symop_operation_xyz
'x,y,z'
'-x,-y,-z'
'-y+1/2,x,z'
'y+1/2,-x,-z'
'-x+1/2,-y+1/2,z'
'x+1/2,y+1/2,-z'
'y,-x+1/2,z'
'-y,x+1/2,-z'
'x+1/2,-y,-z'
'-x+1/2,y,z'
'-y,-x,-z'
'y,x,z'
'-x,y+1/2,-z'
'x,-y+1/2,z'
'y+1/2,x+1/2,-z'
'-y+1/2,-x+1/2,z'
loop_
_atom_site_label
_atom_site_type_symbol
_atom_site_fract_x
_atom_site_fract_y
_atom_site_fract_z
Gd1 Gd 0.250 0.750 0.000
Pa1 Pa 0.250 0.250 0.363
P1 P 0.250 0.250 0.780
O1 O 0.250 0.750 0.500
```

As for the offset from the most stable computed form: 0.037 eV/atom.

VASP calculation (PBE-GGA) on an optimized crystal structure of GdPaPO.

CIF file:
```
data_GdPaPO
_chemical_formula_sum 'Gd2 Pa2 P2 O2'
_space_group_name_H-M_alt 'P m c 21'
_space_group_IT_number 26
_cell_length_a 4.248
_cell_length_b 7.776
_cell_length_c 5.561
_cell_angle_alpha 90.00
_cell_angle_beta 90.00
_cell_angle_gamma 90.00
loop_
_space_group_symop_operation_xyz
'x,y,z'
'-x,-y,z+1/2'
'-x,y,z'
'x,-y,z+1/2'
loop_
_atom_site_label
_atom_site_type_symbol
_atom_site_fract_x
_atom_site_fract_y
_atom_site_fract_z
Gd1 Gd 0.000 0.127 0.000
Pa1 Pa 0.500 0.291 0.501
P1 P 0.500 0.351 0.999
O1 O 0.000 0.171 0.503
```

As for the offset from the most stable computed form: 0.021 eV/atom.

VASP calculation (PBE-GGA) on an optimized crystal structure of PrGdPO.

CIF file:
```
data_PrGdPO
_chemical_formula_sum 'Pr2 Gd2 P2 O2'
_space_group_name_H-M_alt 'P 4/n m m'
_space_group_IT_number 129
_cell_length_a 4.351
_cell_length_b 4.351
_cell_length_c 9.000
_cell_angle_alpha 90.00
_cell_angle_beta 90.00
_cell_angle_gamma 90.00
loop_
_space_group_symop_operation_xyz
'x,y,z'
'-x,-y,-z'
'-y+1/2,x,z'
'y+1/2,-x,-z'
'-x+1/2,-y+1/2,z'
'x+1/2,y+1/2,-z'
'y,-x+1/2,z'
'-y,x+1/2,-z'
'x+1/2,-y,-z'
'-x+1/2,y,z'
'-y,-x,-z'
'y,x,z'
'-x,y+1/2,-z'
'x,-y+1/2,z'
'y+1/2,x+1/2,-z'
'-y+1/2,-x+1/2,z'
loop_
_atom_site_label
_atom_site_type_symbol
_atom_site_fract_x
_atom_site_fract_y
_atom_site_fract_z
Pr1 Pr 0.250 0.750 0.000
Gd1 Gd 0.250 0.250 0.401
P1 P 0.250 0.250 0.789
O1 O 0.250 0.750 0.500
```

As for the offset from the most stable computed form: 0.193 eV/atom.

VASP calculation (PBE-GGA) on an optimized crystal structure of PrGdPO.

CIF file:
```
data_PrGdPO
_chemical_formula_sum 'Pr2 Gd2 P2 O2'
_space_group_name_H-M_alt 'P m c 21'
_space_group_IT_number 26
_cell_length_a 4.266
_cell_length_b 7.920
_cell_length_c 5.519
_cell_angle_alpha 90.00
_cell_angle_beta 90.00
_cell_angle_gamma 90.00
loop_
_space_group_symop_operation_xyz
'x,y,z'
'-x,-y,z+1/2'
'-x,y,z'
'x,-y,z+1/2'
loop_
_atom_site_label
_atom_site_type_symbol
_atom_site_fract_x
_atom_site_fract_y
_atom_site_fract_z
Pr1 Pr 0.000 0.134 0.000
Gd1 Gd 0.500 0.298 0.499
P1 P 0.500 0.354 0.999
O1 O 0.000 0.174 0.497
```

As for the offset from the most stable computed form: 0.025 eV/atom.

VASP calculation (PBE-GGA) on an optimized crystal structure of PrGdPO.

CIF file:
```
data_PrGdPO
_chemical_formula_sum 'Pr2 Gd2 P2 O2'
_space_group_name_H-M_alt 'P 4/n m m'
_space_group_IT_number 129
_cell_length_a 4.419
_cell_length_b 4.419
_cell_length_c 8.964
_cell_angle_alpha 90.00
_cell_angle_beta 90.00
_cell_angle_gamma 90.00
loop_
_space_group_symop_operation_xyz
'x,y,z'
'-x,-y,-z'
'-y+1/2,x,z'
'y+1/2,-x,-z'
'-x+1/2,-y+1/2,z'
'x+1/2,y+1/2,-z'
'y,-x+1/2,z'
'-y,x+1/2,-z'
'x+1/2,-y,-z'
'-x+1/2,y,z'
'-y,-x,-z'
'y,x,z'
'-x,y+1/2,-z'
'x,-y+1/2,z'
'y+1/2,x+1/2,-z'
'-y+1/2,-x+1/2,z'
loop_
_atom_site_label
_atom_site_type_symbol
_atom_site_fract_x
_atom_site_fract_y
_atom_site_fract_z
Pr1 Pr 0.250 0.250 0.112
Gd1 Gd 0.250 0.750 0.500
P1 P 0.250 0.250 0.689
O1 O 0.250 0.750 0.000
```

As for the offset from the most stable computed form: 0.089 eV/atom.

VASP calculation (PBE-GGA) on an optimized crystal structure of PrGdPO.

CIF file:
```
data_PrGdPO
_chemical_formula_sum 'Pr2 Gd2 P2 O2'
_space_group_name_H-M_alt 'P m c 21'
_space_group_IT_number 26
_cell_length_a 4.342
_cell_length_b 7.568
_cell_length_c 5.992
_cell_angle_alpha 90.00
_cell_angle_beta 90.00
_cell_angle_gamma 90.00
loop_
_space_group_symop_operation_xyz
'x,y,z'
'-x,-y,z+1/2'
'-x,y,z'
'x,-y,z+1/2'
loop_
_atom_site_label
_atom_site_type_symbol
_atom_site_fract_x
_atom_site_fract_y
_atom_site_fract_z
Pr1 Pr 0.000 0.197 0.000
Gd1 Gd 0.500 0.380 0.565
P1 P 0.000 0.175 0.496
O1 O 0.500 0.337 0.936
```

As for the offset from the most stable computed form: 0.000 eV/atom.

VASP calculation (PBE-GGA) on an optimized crystal structure of GdPPtO.

CIF file:
```
data_GdPPtO
_chemical_formula_sum 'Gd2 P2 Pt2 O2'
_space_group_name_H-M_alt 'P m c 21'
_space_group_IT_number 26
_cell_length_a 3.546
_cell_length_b 7.566
_cell_length_c 5.507
_cell_angle_alpha 90.00
_cell_angle_beta 90.00
_cell_angle_gamma 90.00
loop_
_space_group_symop_operation_xyz
'x,y,z'
'-x,-y,z+1/2'
'-x,y,z'
'x,-y,z+1/2'
loop_
_atom_site_label
_atom_site_type_symbol
_atom_site_fract_x
_atom_site_fract_y
_atom_site_fract_z
Gd1 Gd 0.000 0.208 0.000
P1 P 0.000 0.418 0.498
Pt1 Pt 0.500 0.231 0.518
O1 O 0.500 0.060 0.079
```

As for the offset from the most stable computed form: 0.484 eV/atom.

VASP calculation (PBE-GGA) on an optimized crystal structure of GdPPtO.

CIF file:
```
data_GdPPtO
_chemical_formula_sum 'Gd2 P2 Pt2 O2'
_space_group_name_H-M_alt 'P 4/n m m'
_space_group_IT_number 129
_cell_length_a 5.406
_cell_length_b 5.406
_cell_length_c 4.580
_cell_angle_alpha 90.00
_cell_angle_beta 90.00
_cell_angle_gamma 90.00
loop_
_space_group_symop_operation_xyz
'x,y,z'
'-x,-y,-z'
'-y+1/2,x,z'
'y+1/2,-x,-z'
'-x+1/2,-y+1/2,z'
'x+1/2,y+1/2,-z'
'y,-x+1/2,z'
'-y,x+1/2,-z'
'x+1/2,-y,-z'
'-x+1/2,y,z'
'-y,-x,-z'
'y,x,z'
'-x,y+1/2,-z'
'x,-y+1/2,z'
'y+1/2,x+1/2,-z'
'-y+1/2,-x+1/2,z'
loop_
_atom_site_label
_atom_site_type_symbol
_atom_site_fract_x
_atom_site_fract_y
_atom_site_fract_z
Gd1 Gd 0.250 0.750 0.000
P1 P 0.250 0.250 0.011
Pt1 Pt 0.250 0.250 0.511
O1 O 0.250 0.750 0.500
```

As for the offset from the most stable computed form: 0.948 eV/atom.

VASP calculation (PBE-GGA) on an optimized crystal structure of GdPPtO.

CIF file:
```
data_GdPPtO
_chemical_formula_sum 'Gd2 P2 Pt2 O2'
_space_group_name_H-M_alt 'P 4/n m m'
_space_group_IT_number 129
_cell_length_a 4.123
_cell_length_b 4.123
_cell_length_c 7.749
_cell_angle_alpha 90.00
_cell_angle_beta 90.00
_cell_angle_gamma 90.00
loop_
_space_group_symop_operation_xyz
'x,y,z'
'-x,-y,-z'
'-y+1/2,x,z'
'y+1/2,-x,-z'
'-x+1/2,-y+1/2,z'
'x+1/2,y+1/2,-z'
'y,-x+1/2,z'
'-y,x+1/2,-z'
'x+1/2,-y,-z'
'-x+1/2,y,z'
'-y,-x,-z'
'y,x,z'
'-x,y+1/2,-z'
'x,-y+1/2,z'
'y+1/2,x+1/2,-z'
'-y+1/2,-x+1/2,z'
loop_
_atom_site_label
_atom_site_type_symbol
_atom_site_fract_x
_atom_site_fract_y
_atom_site_fract_z
Gd1 Gd 0.250 0.250 0.134
P1 P 0.250 0.250 0.661
Pt1 Pt 0.250 0.750 0.500
O1 O 0.250 0.750 0.000
```

As for the offset from the most stable computed form: 0.000 eV/atom.